! RbLiMnP3HO10 (PBE+U, optimized geometry); values from VASP
&SYSTEM
  ibrav = 0, nat = 34, ntyp = 6
/
ATOMIC_SPECIES
Rb 85.47 Rb.upf
Li 6.94 Li.upf
Mn 54.94 Mn.upf
P 30.97 P.upf
H 1.01 H.upf
O 16.00 O.upf
CELL_PARAMETERS angstrom
7.457 -0.090 0.019
1.842 7.226 0.019
2.461 1.889 9.018
ATOMIC_POSITIONS crystal
Rb 0.468 0.542 0.733
Rb 0.542 0.468 0.233
Li 0.868 0.063 0.482
Li 0.063 0.868 0.982
Mn 0.506 0.001 0.002
Mn 0.001 0.506 0.502
P 0.850 0.713 0.817
P 0.882 0.115 0.746
P 0.713 0.850 0.317
P 0.291 0.148 0.685
P 0.115 0.882 0.246
P 0.148 0.291 0.185
H 0.489 0.999 0.517
H 0.999 0.489 0.017
O 0.880 0.921 0.701
O 0.921 0.880 0.201
O 0.875 0.583 0.713
O 0.653 0.744 0.914
O 0.984 0.366 0.096
O 0.744 0.653 0.414
O 0.865 0.254 0.601
O 0.747 0.138 0.889
O 0.583 0.875 0.213
O 0.366 0.984 0.596
O 0.674 0.009 0.404
O 0.403 0.133 0.799
O 0.254 0.865 0.101
O 0.138 0.747 0.389
O 0.253 0.341 0.587
O 0.009 0.674 0.904
O 0.341 0.253 0.087
O 0.133 0.403 0.299
O 0.088 0.084 0.784
O 0.084 0.088 0.284
! size of the total moment = 10.00 μB per cell
! ρ = 2.7 g/cm3
! DFT total energy = -6.7979 eV per atom
! crystal system = monoclinic